Density functional theory data (PBE-GGA) for crystalline HfFeTc at its relaxed geometry.

abc: 4.2797 4.2797 4.2797
angles: 60.00 60.00 60.00
Last column: nearest neighbours and their distance in Å.
Positions (direct):
1 Hf 0.0000 0.0000 0.0000  4 Tc 2.62, 4 Fe 2.62
2 Fe 0.2500 0.2500 0.2500  4 Hf 2.62
3 Tc 0.7500 0.7500 0.7500  4 Hf 2.62

Properties
Energy: -8.66 eV/atom
E_form: 0.877 eV per atom